Material: BaTa2Al
Method: DFT, PBE-GGA
State: optimized geometry

a = 3.0904 Å, b = 3.0904 Å, c = 32.6072 Å
α = 90.00°, β = 90.00°, γ = 120.00°
Space group R3m (No. 160, hexagonal axes)
Inequivalent atoms, fractional coordinates:
Ba: 0.0000 0.0000 0.0000 x3
Ta: 0.0000 0.0000 0.5057 x3
Ta: 0.0000 0.0000 0.7647 x3
Al: 0.0000 0.0000 0.2403 x3

Calculated values
DOS at the Fermi energy in states/eV/cell: 8.0
ΔE_f in meV/atom: 627.5

***

Material: Tl2GaTcBi
Method: DFT, PBE-GGA
State: optimized geometry

a = 5.3969 Å, b = 5.3969 Å, c = 4.9107 Å
α = 90.00°, β = 90.00°, γ = 90.00°
Space group P4/mmm (No. 123)
Inequivalent atoms, fractional coordinates:
Tl: 0.0000 0.5000 0.0000 x2
Ga: 0.0000 0.0000 0.5000 x1
Tc: 0.0000 0.0000 0.0000 x1
Bi: 0.5000 0.5000 0.5000 x1

Calculated values
DOS at the Fermi energy in states/eV/cell: 3.4
ΔE_f in meV/atom: 534.7

***

Material: TbHo5TmIn2
Method: DFT, PBE-GGA
State: optimized geometry

a = 7.5869 Å, b = 7.5869 Å, c = 19.4005 Å
α = 90.00°, β = 90.00°, γ = 90.00°
Space group I4/mcm (No. 140)
Inequivalent atoms, fractional coordinates:
Tb: 0.0000 0.0000 0.2500 x4
Ho: 0.0000 0.0000 0.0000 x4
Ho: 0.2008 0.2992 0.1237 x16
Tm: 0.0000 0.5000 0.2500 x4
In: 0.1242 0.3758 0.5000 x8

Calculated values
DOS at the Fermi energy in states/eV/cell: 49.9
ΔE_f in meV/atom: 9.8

***

Number 1: DFT total energy -6.715 eV per atom. Number 2: DFT total energy -3.867 eV per atom. Number 3: DFT total energy -4.153 eV per atom.